# BiAsI2O PBE optimized geometry
# Raw total energy   -3.104 eV per atom
# Uncorrected formation energy   0.213 eV per atom
# Distance to the lowest polymorph of the same formula   271 meV per atom
# D(E_F)   0.7498 states/eV per atom
data_BiAsI2O
_symmetry_space_group_name_H-M 'P 4/m m m'
_symmetry_Int_Tables_number 123
_symmetry_space_group_name_Hall '-P 4 2'
_cell_length_a 6.299
_cell_length_b 6.299
_cell_length_c 4.299
_cell_angle_alpha 90.00
_cell_angle_beta 90.00
_cell_angle_gamma 90.00
loop_
_atom_site_label
_atom_site_fract_x
_atom_site_fract_y
_atom_site_fract_z
_atom_site_occupancy
Bi1 0.000 0.000 0.000 1
As1 0.500 0.500 0.500 1
I1 0.000 0.500 0.000 1
O1 0.000 0.000 0.500 1

***

# AcPuFeN3 PBE optimized geometry
# Raw total energy   -9.477 eV per atom
# Uncorrected formation energy   -0.831 eV per atom
# D(E_F)   1.2576 states/eV per atom
data_AcPuFeN3
_symmetry_space_group_name_H-M 'P 1 21/m 1'
_symmetry_Int_Tables_number 11
_cell_length_a 7.428
_cell_length_b 3.474
_cell_length_c 7.506
_cell_angle_alpha 90.00
_cell_angle_beta 103.21
_cell_angle_gamma 90.00
loop_
_symmetry_equiv_pos_as_xyz
'x,y,z'
'-x,-y,-z'
'-x,y+1/2,-z'
'x,-y+1/2,z'
loop_
_atom_site_label
_atom_site_fract_x
_atom_site_fract_y
_atom_site_fract_z
_atom_site_occupancy
Ac1 0.216 0.250 0.189 1
Pu1 0.171 0.250 0.658 1
Fe1 0.416 0.750 0.920 1
N1 0.138 0.750 0.438 1
N2 0.152 0.750 0.862 1
N3 0.498 0.250 0.827 1

***

# BaNaCa2 PBE optimized geometry
# Raw total energy   -1.767 eV per atom
# E_form   44 meV/atom
# Distance to the lowest polymorph of the same formula   8 meV per atom
# D(E_F)   1.0339 states/eV per atom
data_BaNaCa2
_symmetry_space_group_name_H-M 'I m m m'
_symmetry_Int_Tables_number 71
_symmetry_space_group_name_Hall '-I 2 2'
_cell_length_a 4.244
_cell_length_b 6.548
_cell_length_c 13.248
_cell_angle_alpha 90.00
_cell_angle_beta 90.00
_cell_angle_gamma 90.00
loop_
_atom_site_label
_atom_site_fract_x
_atom_site_fract_y
_atom_site_fract_z
_atom_site_occupancy
Ba1 0.000 0.000 0.000 1
Na1 0.000 0.000 0.500 1
Ca1 0.000 0.500 0.228 1